Entry 1:
## NaCuMo (PBE-GGA)

Data for a geometry-optimized NaCuMo structure.

## Properties
offset from the most stable computed form	0	meV per atom
ΔH_f (0 K)	0.544	eV per atom
SG	Pnma (62)

Unit cell a=7.414 b=2.900 c=9.614 alpha=90.00 beta=90.00 gamma=90.00
Atoms (fractional coordinates):
Na 0.864 0.250 0.415
Na 0.636 0.750 0.915
Na 0.136 0.750 0.585
Na 0.364 0.250 0.085
Mo 0.455 0.250 0.403
Mo 0.045 0.750 0.903
Mo 0.545 0.750 0.597
Mo 0.955 0.250 0.097
Cu 0.831 0.250 0.715
Cu 0.669 0.750 0.215
Cu 0.169 0.750 0.285
Cu 0.331 0.250 0.785

=====

Entry 2:
## NaCuMo3 (PBE-GGA)

Data for a geometry-optimized NaCuMo3 structure.

## Properties
offset from the most stable computed form	938	meV per atom
ΔH_f (0 K)	2.722	eV per atom
SG	Pm-3m (221)

Unit cell a=4.487 b=4.487 c=4.487 alpha=90.00 beta=90.00 gamma=90.00
Atoms (fractional coordinates):
Na 0.000 0.000 0.000
Mo 0.000 0.500 0.000
Mo 0.000 0.000 0.500
Mo 0.500 0.000 0.000
Cu 0.500 0.500 0.500

=====

Entry 3:
## Na2Cu2Mo (PBE-GGA)

Data for a geometry-optimized Na2Cu2Mo structure.

## Properties
offset from the most stable computed form	43	meV per atom
ΔH_f (0 K)	0.866	eV per atom
SG	I4/mmm (139)

Unit cell a=3.597 b=3.597 c=7.171 alpha=75.48 beta=75.48 gamma=90.00
Site moments in Bohr magnetons follow the coordinates.
Atoms (fractional coordinates):
Na 0.750 0.250 0.500  -0.01
Na 0.250 0.750 0.500  -0.01
Mo 0.000 0.000 0.000  1.63
Cu 0.415 0.415 0.170  0.08
Cu 0.585 0.585 0.830  0.08

=====

Entry 4:
## Na2CuMo (PBE-GGA)

Data for a geometry-optimized Na2CuMo structure.

## Properties
offset from the most stable computed form	32	meV per atom
ΔH_f (0 K)	1.225	eV per atom
SG	Fm-3m (225)

Unit cell a=4.984 b=4.984 c=4.984 alpha=60.00 beta=60.00 gamma=60.00
Site moments in Bohr magnetons follow the coordinates.
Atoms (fractional coordinates):
Na 0.250 0.250 0.250  0.01
Na 0.750 0.750 0.750  0.01
Mo 0.500 0.500 0.500  3.50
Cu 0.000 0.000 0.000  0.06

=====

Entry 5:
## NaCu2Mo (PBE-GGA)

Data for a geometry-optimized NaCu2Mo structure.

## Properties
offset from the most stable computed form	297	meV per atom
ΔH_f (0 K)	1.072	eV per atom
SG	I-42d (122)

Unit cell a=7.119 b=7.119 c=5.752 alpha=51.77 beta=51.77 gamma=90.00
Site moments in Bohr magnetons follow the coordinates.
Atoms (fractional coordinates):
Na 0.500 0.500 0.000  0.02
Na 0.250 0.750 0.500  0.02
Mo 0.000 0.000 0.000  2.21
Mo 0.750 0.250 0.500  2.21
Cu 0.645 0.125 0.250  0.15
Cu 0.105 0.625 0.250  0.14
Cu 0.375 0.355 0.750  0.16
Cu 0.875 0.895 0.750  0.15

=====

Entry 6:
## NaCu2Mo (PBE-GGA)

Data for a geometry-optimized NaCu2Mo structure.

## Properties
offset from the most stable computed form	0	meV per atom
ΔH_f (0 K)	0.776	eV per atom
SG	Fm-3m (225)

Unit cell a=4.415 b=4.415 c=4.415 alpha=60.00 beta=60.00 gamma=60.00
Site moments in Bohr magnetons follow the coordinates.
Atoms (fractional coordinates):
Na 0.000 0.000 0.000  0.00
Mo 0.500 0.500 0.500  0.86
Cu 0.250 0.250 0.250  0.04
Cu 0.750 0.750 0.750  0.04

=====

Entry 7:
## NaCuMo (PBE-GGA)

Data for a geometry-optimized NaCuMo structure.

## Properties
offset from the most stable computed form	25	meV per atom
ΔH_f (0 K)	0.568	eV per atom
SG	Pnma (62)

Unit cell a=8.191 b=3.189 c=8.428 alpha=90.00 beta=90.00 gamma=90.00
Atoms (fractional coordinates):
Na 0.052 0.250 0.851
Na 0.448 0.750 0.351
Na 0.948 0.750 0.149
Na 0.552 0.250 0.649
Mo 0.096 0.250 0.451
Mo 0.404 0.750 0.951
Mo 0.904 0.750 0.549
Mo 0.596 0.250 0.049
Cu 0.748 0.250 0.345
Cu 0.752 0.750 0.845
Cu 0.252 0.750 0.655
Cu 0.248 0.250 0.155

=====

Entry 8:
## NaCuMo3 (PBE-GGA)

Data for a geometry-optimized NaCuMo3 structure.

## Properties
offset from the most stable computed form	0	meV per atom
ΔH_f (0 K)	1.784	eV per atom
SG	Pm-3m (221)

Unit cell a=4.618 b=4.618 c=4.618 alpha=90.00 beta=90.00 gamma=90.00
Atoms (fractional coordinates):
Na 0.500 0.500 0.500
Mo 0.000 0.500 0.000
Mo 0.000 0.000 0.500
Mo 0.500 0.000 0.000
Cu 0.000 0.000 0.000

=====

Q: Which of these has the highest offset from the most stable computed form?
A: number 2

=====

Copy entry 2 word for word.
## NaCuMo3 (PBE-GGA)

Data for a geometry-optimized NaCuMo3 structure.

## Properties
offset from the most stable computed form	938	meV per atom
ΔH_f (0 K)	2.722	eV per atom
SG	Pm-3m (221)

Unit cell a=4.487 b=4.487 c=4.487 alpha=90.00 beta=90.00 gamma=90.00
Atoms (fractional coordinates):
Na 0.000 0.000 0.000
Mo 0.000 0.500 0.000
Mo 0.000 0.000 0.500
Mo 0.500 0.000 0.000
Cu 0.500 0.500 0.500

=====

What did the seventh record say?
## NaCuMo (PBE-GGA)

Data for a geometry-optimized NaCuMo structure.

## Properties
offset from the most stable computed form	25	meV per atom
ΔH_f (0 K)	0.568	eV per atom
SG	Pnma (62)

Unit cell a=8.191 b=3.189 c=8.428 alpha=90.00 beta=90.00 gamma=90.00
Atoms (fractional coordinates):
Na 0.052 0.250 0.851
Na 0.448 0.750 0.351
Na 0.948 0.750 0.149
Na 0.552 0.250 0.649
Mo 0.096 0.250 0.451
Mo 0.404 0.750 0.951
Mo 0.904 0.750 0.549
Mo 0.596 0.250 0.049
Cu 0.748 0.250 0.345
Cu 0.752 0.750 0.845
Cu 0.252 0.750 0.655
Cu 0.248 0.250 0.155

=====

Q: Which of these has the highest offset from the most stable computed form?
A: number 2